Compound: Nd3Sc2Fe3O12
Source: Alexandria
Functional: PBEsol
Structure: relaxed

## Properties
For the uncorrected formation energy, the calculation gives -2685 meV per atom. The volume comes out at 2048 Å³/cell. The total energy is -1378.26 eV per cell.

```
data_Nd3Sc2Fe3O12
_space_group_name_H-M_alt 'I a -3 d'
_space_group_IT_number 230
_space_group_name_Hall '-I 4bd 2c 3'
_cell_length_a 12.700
_cell_length_b 12.700
_cell_length_c 12.700
_cell_angle_alpha 90.00
_cell_angle_beta 90.00
_cell_angle_gamma 90.00
loop_
_atom_site_label
_atom_site_type_symbol
_atom_site_fract_x
_atom_site_fract_y
_atom_site_fract_z
_atom_site_occupancy
Nd1 Nd 0.000 0.250 0.125 1
Sc1 Sc 0.000 0.000 0.000 1
Fe1 Fe 0.000 0.250 0.375 1
O1 O 0.030 0.057 0.653 1
```